The following is a DFT calculation (PBE) of crystalline TlInI2 at its relaxed geometry.

Computed properties:
ρ: 4190 kg/m³
excess energy over the best structure of this formula in the dataset: 0.2013 eV per atom
ΔE_f (raw): -0.3581 eV/atom

Cell and atoms, written as CIF:
```
data_TlInI2
_cell_length_a 5.0514
_cell_length_b 5.0514
_cell_length_c 30.8310
_cell_angle_alpha 90.00
_cell_angle_beta 90.00
_cell_angle_gamma 120.00
_space_group_name_H-M_alt 'R -3 m'
_space_group_IT_number 166
_space_group_name_Hall '-R 3 2"'
loop_
_atom_site_label
_atom_site_type_symbol
_atom_site_fract_x
_atom_site_fract_y
_atom_site_fract_z
_atom_site_occupancy
Tl1 Tl 0.0000 0.0000 0.0000 1
In1 In 0.0000 0.0000 0.5000 1
I1 I 0.0000 0.0000 0.3978 1
```